The following is a DFT calculation (PBE-GGA) of a relaxed LiSiPt2 crystal.

Cell lengths 6.127, 6.127, 6.127 Å; angles 90.00, 90.00, 90.00 degrees
Sites, in units of the cell vectors:
Li 0.000 0.000 0.000
Li 0.000 0.500 0.500
Li 0.500 0.000 0.500
Li 0.500 0.500 0.000
Si 0.250 0.250 0.250
Si 0.250 0.750 0.750
Si 0.750 0.250 0.750
Si 0.750 0.750 0.250
Pt 0.000 0.000 0.500
Pt 0.000 0.500 0.000
Pt 0.250 0.250 0.750
Pt 0.250 0.750 0.250
Pt 0.500 0.000 0.000
Pt 0.500 0.500 0.500
Pt 0.750 0.250 0.250
Pt 0.750 0.750 0.750

* formation energy (no corrections): -0.3526 eV per atom
* magnetic moment: 0.0 μB per formula unit

=====

The following is a DFT calculation (PBE-GGA) of a relaxed LiSiPt crystal.

Cell lengths 2.899, 2.899, 6.235 Å; angles 90.00, 90.00, 120.00 degrees
Sites, in units of the cell vectors:
Li 0.000 0.000 0.000
Si 0.333 0.667 0.647
Pt 0.667 0.333 0.351

* formation energy (no corrections): -0.3198 eV per atom
* magnetic moment: 0.0 μB per formula unit

=====

The following is a DFT calculation (PBE-GGA) of a relaxed LiSiPt3 crystal.

Cell lengths 8.042, 5.363, 8.519 Å; angles 90.00, 121.13, 90.00 degrees
Sites, in units of the cell vectors:
Li 0.122 0.229 0.062
Li 0.122 0.271 0.562
Li 0.878 0.729 0.438
Li 0.878 0.771 0.938
Si 0.296 0.739 0.915
Si 0.296 0.761 0.415
Si 0.704 0.239 0.585
Si 0.704 0.261 0.085
Pt 0.024 0.503 0.261
Pt 0.024 0.997 0.761
Pt 0.347 0.206 0.426
Pt 0.347 0.294 0.926
Pt 0.420 0.581 0.230
Pt 0.420 0.919 0.730
Pt 0.580 0.081 0.270
Pt 0.580 0.419 0.770
Pt 0.653 0.706 0.074
Pt 0.653 0.794 0.574
Pt 0.976 0.003 0.239
Pt 0.976 0.497 0.739

* formation energy (no corrections): -0.5856 eV per atom
* magnetic moment: 0.0 μB per formula unit
* energy above the most stable polymorph in this dataset: 0.47 eV/f.u.

=====

The following is a DFT calculation (PBE-GGA) of a relaxed Li3Si3Pt4 crystal.

Cell lengths 7.279, 7.279, 7.279 Å; angles 109.47, 109.47, 109.47 degrees
Sites, in units of the cell vectors:
Li 0.125 0.750 0.875
Li 0.250 0.625 0.375
Li 0.375 0.250 0.625
Li 0.625 0.375 0.250
Li 0.750 0.875 0.125
Li 0.875 0.125 0.750
Si 0.125 0.875 0.250
Si 0.250 0.125 0.875
Si 0.375 0.625 0.750
Si 0.625 0.750 0.375
Si 0.750 0.375 0.625
Si 0.875 0.250 0.125
Pt 0.000 0.323 0.500
Pt 0.000 0.823 0.500
Pt 0.177 0.177 0.177
Pt 0.323 0.500 0.000
Pt 0.500 0.000 0.323
Pt 0.500 0.000 0.823
Pt 0.677 0.677 0.677
Pt 0.823 0.500 0.000

* formation energy (no corrections): -0.7397 eV per atom
* magnetic moment: 0.0 μB per formula unit

=====

The following is a DFT calculation (PBE-GGA) of a relaxed LiSiPt2 crystal.

Cell lengths 2.883, 3.347, 5.613 Å; angles 90.00, 90.00, 90.00 degrees
Sites, in units of the cell vectors:
Li 0.000 0.000 0.000
Si 0.000 0.000 0.500
Pt 0.500 0.500 0.255
Pt 0.500 0.500 0.745

* formation energy (no corrections): -0.6109 eV per atom
* magnetic moment: 0.0 μB per formula unit

=====

The following is a DFT calculation (PBE-GGA) of a relaxed Li2Si3Pt4 crystal.

Cell lengths 7.537, 7.537, 7.077 Å; angles 90.00, 90.00, 136.39 degrees
Sites, in units of the cell vectors:
Li 0.099 0.901 0.910
Li 0.401 0.599 0.410
Li 0.599 0.401 0.590
Li 0.901 0.099 0.090
Si 0.000 0.000 0.500
Si 0.015 0.485 0.750
Si 0.485 0.015 0.250
Si 0.500 0.500 0.000
Si 0.515 0.985 0.750
Si 0.985 0.515 0.250
Pt 0.180 0.820 0.533
Pt 0.187 0.313 0.750
Pt 0.313 0.187 0.250
Pt 0.320 0.680 0.033
Pt 0.680 0.320 0.967
Pt 0.687 0.813 0.750
Pt 0.813 0.687 0.250
Pt 0.820 0.180 0.467

* formation energy (no corrections): -0.7385 eV per atom
* magnetic moment: 0.0 μB per formula unit

=====

The following is a DFT calculation (PBE-GGA) of a relaxed LiSi2Pt2 crystal.

Cell lengths 5.032, 5.032, 8.117 Å; angles 98.79, 98.79, 119.55 degrees
Sites, in units of the cell vectors:
Li 0.126 0.874 0.750
Li 0.874 0.126 0.250
Si 0.247 0.496 0.999
Si 0.496 0.247 0.499
Si 0.504 0.753 0.501
Si 0.753 0.504 0.001
Pt 0.207 0.793 0.250
Pt 0.459 0.541 0.750
Pt 0.541 0.459 0.250
Pt 0.793 0.207 0.750

* formation energy (no corrections): -0.5775 eV per atom
* magnetic moment: 0.0 μB per formula unit

=====

The following is a DFT calculation (PBE-GGA) of a relaxed Li2Si4Pt crystal.

Cell lengths 4.745, 4.745, 12.654 Å; angles 90.00, 90.00, 90.00 degrees
Sites, in units of the cell vectors:
Li 0.000 0.000 0.112
Li 0.000 0.000 0.888
Li 0.500 0.500 0.388
Li 0.500 0.500 0.612
Si 0.000 0.000 0.302
Si 0.000 0.000 0.698
Si 0.000 0.500 0.000
Si 0.000 0.500 0.500
Si 0.500 0.000 0.000
Si 0.500 0.000 0.500
Si 0.500 0.500 0.198
Si 0.500 0.500 0.802
Pt 0.000 0.000 0.500
Pt 0.500 0.500 0.000

* formation energy (no corrections): 0.4524 eV per atom
* magnetic moment: 0.0 μB per formula unit

=====

The following is a DFT calculation (PBE-GGA) of a relaxed Li5SiPt6 crystal.

Cell lengths 4.192, 5.878, 6.586 Å; angles 90.00, 108.15, 90.00 degrees
Sites, in units of the cell vectors:
Li 0.000 0.000 0.000
Li 0.330 0.500 0.658
Li 0.334 0.000 0.667
Li 0.666 0.000 0.333
Li 0.670 0.500 0.342
Si 0.000 0.500 0.000
Pt 0.163 0.251 0.327
Pt 0.163 0.749 0.327
Pt 0.500 0.255 0.000
Pt 0.500 0.745 0.000
Pt 0.837 0.251 0.673
Pt 0.837 0.749 0.673

* formation energy (no corrections): -0.6632 eV per atom
* magnetic moment: 0.0 μB per formula unit

=====

The following is a DFT calculation (PBE-GGA) of a relaxed LiSi2Pt2 crystal.

Cell lengths 5.030, 5.259, 6.338 Å; angles 79.48, 77.38, 80.47 degrees
Sites, in units of the cell vectors:
Li 0.066 0.416 0.243
Li 0.934 0.584 0.757
Si 0.252 0.983 0.010
Si 0.474 0.745 0.532
Si 0.526 0.255 0.468
Si 0.748 0.017 0.990
Pt 0.108 0.064 0.663
Pt 0.463 0.376 0.828
Pt 0.537 0.624 0.172
Pt 0.892 0.936 0.337

* formation energy (no corrections): -0.6222 eV per atom
* magnetic moment: 0.0 μB per formula unit

=====

The following is a DFT calculation (PBE-GGA) of a relaxed Li4SiPt3 crystal.

Cell lengths 6.812, 6.812, 6.812 Å; angles 61.52, 61.52, 61.52 degrees
Sites, in units of the cell vectors:
Li 0.059 0.842 0.343
Li 0.158 0.941 0.657
Li 0.226 0.226 0.226
Li 0.343 0.059 0.842
Li 0.657 0.158 0.941
Li 0.774 0.774 0.774
Li 0.842 0.343 0.059
Li 0.941 0.657 0.158
Si 0.399 0.399 0.399
Si 0.601 0.601 0.601
Pt 0.000 0.392 0.608
Pt 0.236 0.500 0.764
Pt 0.392 0.608 0.000
Pt 0.500 0.764 0.236
Pt 0.608 0.000 0.392
Pt 0.764 0.236 0.500

* formation energy (no corrections): -0.7282 eV per atom
* magnetic moment: 0.0 μB per formula unit

=====

The following is a DFT calculation (PBE-GGA) of a relaxed Li6Si2Pt crystal.

Cell lengths 9.022, 9.022, 9.022 Å; angles 28.21, 28.21, 28.21 degrees
Sites, in units of the cell vectors:
Li 0.094 0.094 0.094
Li 0.202 0.202 0.202
Li 0.308 0.308 0.308
Li 0.692 0.692 0.692
Li 0.798 0.798 0.798
Li 0.906 0.906 0.906
Si 0.409 0.409 0.409
Si 0.591 0.591 0.591
Pt 0.500 0.500 0.500

* formation energy (no corrections): -0.3550 eV per atom
* magnetic moment: 0.0 μB per formula unit

=====

| no. | VASP energy (eV per atom) |
| --- | --- |
| 1 | -5.21 |
| 2 | -4.78 |
| 3 | -5.68 |
| 4 | -5.36 |
| 5 | -5.47 |
| 6 | -5.66 |
| 7 | -5.55 |
| 8 | -4.06 |
| 9 | -4.93 |
| 10 | -5.59 |
| 11 | -4.63 |
| 12 | -3.51 |